CaTc2Mo: single point on PBEsol structure, meta-GGA SCAN.

Computed properties:
The value obtained for the volume is 142.3 Å³ per cell. As for the energy above the most stable polymorph in this dataset: 0 meV per atom. The formation enthalpy at 0 K is 46.5 kJ/mol of atoms. The total magnetic moment comes out at 0.00 μB per cell.

a b c (Å): 9.7860 3.0591 5.0155
angles (deg): 90.00 108.56 90.00
Space group Cm (No. 8)
Inequivalent atoms, fractional coordinates:
Ca 0.0000 0.0000 0.0000
Tc 0.2797 0.5000 0.3259
Tc 0.4982 0.0000 0.4949
Mo 0.2129 0.0000 0.6656

=====

Cd3Ni7B2: single point on PBEsol structure, meta-GGA SCAN.

Computed properties:
The value obtained for the volume is 426.1 Å³ per cell. The formation enthalpy at 0 K is -10.4 kJ/mol of atoms. The total magnetic moment comes out at 0.00 μB per cell.

a b c (Å): 4.9437 4.9437 20.1332
angles (deg): 90.00 90.00 120.00
Space group R-3m (No. 166, hexagonal axes)
Inequivalent atoms, fractional coordinates:
Cd 0.0000 0.0000 0.0000
Cd 0.0000 0.0000 0.1446
Ni 0.0000 0.0000 0.5000
Ni 0.0020 0.5010 0.0678
B 0.0000 0.0000 0.3333

=====

Zr4Al3C6: single point on PBEsol structure, meta-GGA SCAN.

Computed properties:
The value obtained for the volume is 315.6 Å³ per cell. The formation enthalpy at 0 K is -71.3 kJ/mol of atoms. The total magnetic moment comes out at 0.00 μB per cell.

a b c (Å): 3.3323 3.3323 32.8220
angles (deg): 90.00 90.00 120.00
Space group P6_3/mmc (No. 194)
Inequivalent atoms, fractional coordinates:
Zr 0.0000 0.0000 0.1203
Zr 0.3333 0.6667 0.0401
Al 0.3333 0.6667 0.2500
Al 0.3333 0.6667 0.6887
C 0.0000 0.0000 0.0000
C 0.3333 0.6667 0.1675
C 0.3333 0.6667 0.5827
C 0.3333 0.6667 0.7500

=====

AgRh2Br: single point on PBEsol structure, meta-GGA SCAN.

Computed properties:
The value obtained for the volume is 187.6 Å³ per cell. As for the energy above the most stable polymorph in this dataset: 0 meV per atom. The calculation puts the uncorrected formation energy at 54.5 kJ/mol of atoms. The total magnetic moment comes out at 0.00 μB per cell.

a b c (Å): 2.9337 2.9337 25.1712
angles (deg): 90.00 90.00 120.00
Space group R-3m (No. 166, hexagonal axes)
Inequivalent atoms, fractional coordinates:
Ag 0.0000 0.0000 0.0000
Rh 0.0000 0.0000 0.2459
Br 0.0000 0.0000 0.5000

=====

KTcIr: single point on PBEsol structure, meta-GGA SCAN.

Computed properties:
The value obtained for the volume is 120.5 Å³ per cell. The formation enthalpy at 0 K is 63.7 kJ/mol of atoms. The total magnetic moment comes out at 0.00 μB per cell.

a b c (Å): 2.8741 2.8741 14.5872
angles (deg): 90.00 90.00 90.00
Space group I4mm (No. 107)
Inequivalent atoms, fractional coordinates:
K 0.0000 0.0000 0.0000
Tc 0.0000 0.0000 0.7146
Ir 0.0000 0.0000 0.3159

=====

KTi2NiPd: single point on PBEsol structure, meta-GGA SCAN.

Computed properties:
The value obtained for the volume is 111.0 Å³ per cell. The formation enthalpy at 0 K is 71.2 kJ/mol of atoms. The total magnetic moment comes out at 2.54 μB per cell.

a b c (Å): 4.7649 4.7649 4.8899
angles (deg): 90.00 90.00 90.00
Space group P4/mmm (No. 123)
Inequivalent atoms, fractional coordinates:
K 0.0000 0.0000 0.0000
Ti 0.0000 0.5000 0.5000
Ni 0.5000 0.5000 0.0000
Pd 0.5000 0.5000 0.5000